No. 1
VASP calculation (PBE) on Rb3Na3Tl2 after structural relaxation.

Summary:
- crystal system = orthorhombic
- formation energy from the elements (meV per atom) = -19
- E (eV for the cell shown) = -23.48
- D(E_F) (states/eV/cell) = 8.42

Cell and atoms, written as extended XYZ:
```
16
Lattice="-1.284 5.912 -0.817 -3.620 -4.513 -4.155 -13.242 -1.115 12.745" Properties=species:S:1:pos:R:3 pbc="T T T"
Na -9.913 1.045 0.331
Na -12.104 -1.085 11.169
Na -6.042 1.370 -3.396
Na -8.232 -0.759 7.442
Na -11.785 -1.513 7.574
Na -6.361 1.798 0.199
Tl -14.067 1.154 7.650
Tl -6.283 -1.054 2.244
Tl -4.078 -0.869 0.123
Tl -11.863 1.340 5.529
Rb -15.622 -2.120 9.209
Rb -7.526 -1.818 -1.328
Rb -8.173 1.930 4.002
Rb -2.524 2.405 -1.436
Rb -10.620 2.103 9.101
Rb -9.972 -1.645 3.771
```

No. 2
VASP calculation (PBE) on ZrTiPd after structural relaxation.

Summary:
- crystal system = orthorhombic
- formation energy from the elements (meV per atom) = -421
- relative energy among the computed polymorphs (eV/atom) = 0.028
- E (eV for the cell shown) = -91.59
- D(E_F) (states/eV/cell) = 16.02

Cell and atoms, written as extended XYZ:
```
12
Lattice="2.738 -4.613 0.000 2.738 4.613 0.000 0.000 0.000 8.663" Properties=species:S:1:pos:R:3 pbc="T T T"
Zr 2.738 -1.615 5.962
Zr 2.738 -1.615 2.701
Zr 2.738 1.479 7.018
Zr 2.738 1.479 1.645
Ti 1.408 -0.843 0.000
Ti 4.068 -0.843 0.000
Ti 2.738 3.214 4.332
Ti 2.738 -3.033 0.000
Pd 1.406 0.931 4.332
Pd 4.070 0.931 4.332
Pd 2.738 4.569 6.536
Pd 2.738 4.569 2.127
```

No. 3
VASP calculation (PBE) on SrN2Cl after structural relaxation.

Summary:
- crystal system = monoclinic
- relative energy among the computed polymorphs (eV/atom) = 0.000
- E (eV for the cell shown) = -48.53
- D(E_F) (states/eV/cell) = 3.16
- formation energy (no corrections) (meV per atom) = -1022

Cell and atoms, written as extended XYZ:
```
8
Lattice="4.619 -1.293 0.000 -2.419 7.599 0.000 0.000 0.000 5.287" Properties=species:S:1:pos:R:3 pbc="T T T"
Cl -1.255 7.176 3.965
Cl 3.455 -0.870 1.322
Sr -1.788 5.681 1.322
Sr 3.988 0.624 3.965
N -0.026 3.473 0.730
N 2.226 2.832 3.374
N -0.026 3.473 1.913
N 2.226 2.832 4.557
```

No. 4
VASP calculation (PBE) on Nd6CdTe5 after structural relaxation.

Summary:
- crystal system = monoclinic
- E (eV for the cell shown) = -60.14
- D(E_F) (states/eV/cell) = 5.70
- formation energy (no corrections) (meV per atom) = -1242

Cell and atoms, written as extended XYZ:
```
12
Lattice="-3.623 4.068 5.543 2.840 -2.026 6.990 6.091 3.823 2.999" Properties=species:S:1:pos:R:3 pbc="T T T"
Te 2.607 1.642 9.594
Te -0.392 1.021 6.267
Te 2.701 4.222 5.938
Te 5.963 1.208 6.658
Te 2.967 0.589 3.331
Cd 0.000 0.000 0.000
Nd -0.585 1.533 9.438
Nd 2.790 1.076 6.468
Nd -0.198 0.509 3.096
Nd 5.792 1.701 9.795
Nd 2.518 4.788 9.064
Nd -0.484 4.163 5.737
```

No. 5
VASP calculation (PBE) on Ac2HgPb2 after structural relaxation.

Summary:
- crystal system = monoclinic
- formation energy from the elements (meV per atom) = -500
- relative energy among the computed polymorphs (eV/atom) = 0.000
- E (eV for the cell shown) = -36.87
- D(E_F) (states/eV/cell) = 1.39

Cell and atoms, written as extended XYZ:
```
10
Lattice="-0.082 2.652 4.385 4.368 -2.540 4.614 6.959 8.185 -1.825" Properties=species:S:1:pos:R:3 pbc="T T T"
Ac 3.570 -0.975 3.652
Ac 7.836 4.041 3.694
Ac 3.409 4.256 3.481
Ac 7.675 9.271 3.522
Hg 6.500 6.550 2.151
Hg 4.745 1.747 5.023
Pb 5.931 4.183 6.568
Pb 9.770 6.553 5.206
Pb 1.475 1.744 1.968
Pb 5.314 4.114 0.607
```

No. 6
VASP calculation (PBE) on PbW2Br after structural relaxation.

Summary:
- crystal system = orthorhombic
- relative energy among the computed polymorphs (eV/atom) = 1.176
- E (eV for the cell shown) = -25.16
- D(E_F) (states/eV/cell) = 6.07
- formation energy (no corrections) (meV per atom) = 1533

Cell and atoms, written as extended XYZ:
```
4
Lattice="-0.721 -4.126 -2.195 -1.512 -1.900 4.058 -3.116 0.930 -0.725" Properties=species:S:1:pos:R:3 pbc="T T T"
W -1.116 -3.013 0.932
W 0.000 0.000 0.000
Pb -2.314 -0.485 1.666
Br -1.918 -1.598 -1.460
```